No. 1
A relaxed Sm6YEr2Th crystal, computed with PBE-GGA.

Cell lengths 9.305, 14.995, 9.610 Å; angles 90.00, 97.03, 90.00 degrees
Space group C2/c (No. 15)
Inequivalent atoms, fractional coordinates:
Sm (0.063, 0.174, 0.442) (multiplicity 8)
Sm (0.094, 0.389, 0.618) (multiplicity 8)
Sm (0.208, 0.221, 0.816) (multiplicity 8)
Y (0.000, 0.408, 0.250) (multiplicity 4)
Er (0.248, 0.047, 0.051) (multiplicity 8)
Th (0.000, 0.032, 0.750) (multiplicity 4)

Values from the calculation:
Calculated density: 7.77 g/cm³
Magnetization: 0.0 μB/cell
Energy of formation from the pure elements: 0.145 eV per atom

No. 2
A relaxed Tb5Y2Ho2 crystal, computed with PBE-GGA.

Cell lengths 19.925, 3.496, 8.590 Å; angles 90.00, 101.41, 90.00 degrees
Space group C2/m (No. 12)
Inequivalent atoms, fractional coordinates:
Tb (0.000, 0.000, 0.000) (multiplicity 2)
Tb (0.055, 0.000, 0.668) (multiplicity 4)
Tb (0.220, 0.000, 0.644) (multiplicity 4)
Y (0.176, 0.000, 0.036) (multiplicity 4)
Ho (0.101, 0.500, 0.338) (multiplicity 4)

Values from the calculation:
Calculated density: 7.37 g/cm³
Magnetization: 0.0 μB/cell
Energy of formation from the pure elements: 0.137 eV per atom
Energy above the most stable polymorph in this dataset: 0 meV/atom